VASP calculation (PBE-GGA) on a relaxed NaSn2Hg2 crystal.

Output
Polymorph energy (0 for the lowest one) = 73 meV per atom
DFT formation energy = -0.0303 eV per atom
Total moment = 0.000 μB/atom

```
data_NaSn2Hg2
_symmetry_space_group_name_H-M 'P 1'
_symmetry_Int_Tables_number 1
_symmetry_space_group_name_Hall 'P 1'
_cell_length_a 8.490
_cell_length_b 8.490
_cell_length_c 3.846
_cell_angle_alpha 90.00
_cell_angle_beta 90.00
_cell_angle_gamma 90.00
loop_
_atom_site_label
_atom_site_type_symbol
_atom_site_fract_x
_atom_site_fract_y
_atom_site_fract_z
Sn1 Sn 0.372 0.872 0.000
Hg1 Hg 0.327 0.173 0.500
Sn2 Sn 0.872 0.628 0.000
Hg2 Hg 0.173 0.673 0.500
Hg3 Hg 0.827 0.327 0.500
Na1 Na 0.000 0.000 0.000
Sn3 Sn 0.128 0.372 0.000
Sn4 Sn 0.628 0.128 0.000
Na2 Na 0.500 0.500 0.000
Hg4 Hg 0.673 0.827 0.500
```


VASP calculation (PBE-GGA) on a relaxed Ho3AsP2 crystal.

Output
DFT formation energy = -1.5803 eV per atom
Total moment = 0.000 μB/atom

```
data_Ho3AsP2
_symmetry_space_group_name_H-M 'P 1'
_symmetry_Int_Tables_number 1
_symmetry_space_group_name_Hall 'P 1'
_cell_length_a 8.998
_cell_length_b 8.998
_cell_length_c 8.998
_cell_angle_alpha 154.15
_cell_angle_beta 154.15
_cell_angle_gamma 36.88
loop_
_atom_site_label
_atom_site_type_symbol
_atom_site_fract_x
_atom_site_fract_y
_atom_site_fract_z
P1 P 0.333 0.333 0.000
As1 As 0.000 0.000 0.000
Ho1 Ho 0.169 0.169 0.000
P2 P 0.667 0.667 0.000
Ho2 Ho 0.500 0.500 0.000
Ho3 Ho 0.831 0.831 0.000
```


VASP calculation (PBE-GGA) on a relaxed KCd6Bi2 crystal.

Output
DFT formation energy = -0.0765 eV per atom
Total moment = 0.000 μB/atom

```
data_KCd6Bi2
_symmetry_space_group_name_H-M 'P 1'
_symmetry_Int_Tables_number 1
_symmetry_space_group_name_Hall 'P 1'
_cell_length_a 4.720
_cell_length_b 4.720
_cell_length_c 11.308
_cell_angle_alpha 90.00
_cell_angle_beta 90.00
_cell_angle_gamma 90.00
loop_
_atom_site_label
_atom_site_type_symbol
_atom_site_fract_x
_atom_site_fract_y
_atom_site_fract_z
Cd1 Cd 0.500 0.000 0.320
Bi1 Bi 0.500 0.500 0.147
Cd2 Cd 0.000 0.000 0.500
Cd3 Cd 0.500 0.000 0.680
Cd4 Cd 0.500 0.500 0.500
Cd5 Cd 0.000 0.500 0.680
Cd6 Cd 0.000 0.500 0.320
K1 K 0.000 0.000 0.000
Bi2 Bi 0.500 0.500 0.853
```


VASP calculation (PBE-GGA) on a relaxed LiThSc2Pt4 crystal.

Output
DFT formation energy = -1.0846 eV per atom
Total moment = 0.000 μB/atom

```
data_LiThSc2Pt4
_symmetry_space_group_name_H-M 'P 1'
_symmetry_Int_Tables_number 1
_symmetry_space_group_name_Hall 'P 1'
_cell_length_a 4.556
_cell_length_b 4.556
_cell_length_c 8.836
_cell_angle_alpha 75.06
_cell_angle_beta 75.06
_cell_angle_gamma 60.00
loop_
_atom_site_label
_atom_site_type_symbol
_atom_site_fract_x
_atom_site_fract_y
_atom_site_fract_z
Pt1 Pt 0.395 0.395 0.814
Pt2 Pt 0.126 0.126 0.621
Li1 Li 0.500 0.500 0.500
Th1 Th 0.000 0.000 0.000
Sc1 Sc 0.765 0.765 0.704
Sc2 Sc 0.235 0.235 0.296
Pt3 Pt 0.605 0.605 0.186
Pt4 Pt 0.874 0.874 0.379
```


VASP calculation (PBE-GGA) on a relaxed Sm3Al3Rh2 crystal.

Output
DFT formation energy = -0.6986 eV per atom
Total moment = 0.000 μB/atom

```
data_Sm3Al3Rh2
_symmetry_space_group_name_H-M 'P 1'
_symmetry_Int_Tables_number 1
_symmetry_space_group_name_Hall 'P 1'
_cell_length_a 5.771
_cell_length_b 7.941
_cell_length_c 15.311
_cell_angle_alpha 90.00
_cell_angle_beta 90.00
_cell_angle_gamma 90.00
loop_
_atom_site_label
_atom_site_type_symbol
_atom_site_fract_x
_atom_site_fract_y
_atom_site_fract_z
Sm1 Sm 0.114 0.163 0.750
Sm2 Sm 0.103 0.470 0.109
Sm3 Sm 0.397 0.970 0.391
Sm4 Sm 0.614 0.337 0.250
Sm5 Sm 0.103 0.470 0.391
Al1 Al 0.093 0.162 0.964
Al2 Al 0.907 0.838 0.036
Rh1 Rh 0.367 0.371 0.894
Al3 Al 0.593 0.338 0.036
Sm6 Sm 0.886 0.837 0.250
Al4 Al 0.093 0.162 0.536
Sm7 Sm 0.897 0.530 0.891
Al5 Al 0.895 0.820 0.750
Al6 Al 0.105 0.180 0.250
Rh2 Rh 0.867 0.129 0.106
Rh3 Rh 0.367 0.371 0.606
Sm8 Sm 0.397 0.970 0.109
Al7 Al 0.407 0.662 0.964
Al8 Al 0.395 0.680 0.250
Rh4 Rh 0.133 0.871 0.606
Rh5 Rh 0.633 0.629 0.106
Al9 Al 0.907 0.838 0.464
Sm9 Sm 0.603 0.030 0.891
Al10 Al 0.605 0.320 0.750
Rh6 Rh 0.867 0.129 0.394
Sm10 Sm 0.897 0.530 0.609
Sm11 Sm 0.386 0.663 0.750
Al11 Al 0.593 0.338 0.464
Rh7 Rh 0.633 0.629 0.394
Rh8 Rh 0.133 0.871 0.894
Al12 Al 0.407 0.662 0.536
Sm12 Sm 0.603 0.030 0.609
```


VASP calculation (PBE-GGA) on a relaxed BaLaNi2H crystal.

Output
Total moment = 0.000 μB/atom
E = -20.883 eV for the cell shown

```
data_BaLaNi2H
_symmetry_space_group_name_H-M 'P 1'
_symmetry_Int_Tables_number 1
_symmetry_space_group_name_Hall 'P 1'
_cell_length_a 5.240
_cell_length_b 4.588
_cell_length_c 5.240
_cell_angle_alpha 90.00
_cell_angle_beta 90.00
_cell_angle_gamma 90.00
loop_
_atom_site_label
_atom_site_type_symbol
_atom_site_fract_x
_atom_site_fract_y
_atom_site_fract_z
Ba1 Ba 0.500 0.500 0.500
H1 H 0.000 0.500 0.000
Ni1 Ni 0.000 0.000 0.500
Ni2 Ni 0.500 0.000 0.000
La1 La 0.000 0.000 0.000
```


VASP calculation (PBE-GGA) on a relaxed TbScTe2 crystal.

Output
Polymorph energy (0 for the lowest one) = 37 meV per atom
Formation energy (no corrections) = -1.203 eV/atom
Total moment = 0.000 μB/atom

```
data_TbScTe2
_symmetry_space_group_name_H-M 'P 1'
_symmetry_Int_Tables_number 1
_symmetry_space_group_name_Hall 'P 1'
_cell_length_a 4.267
_cell_length_b 4.267
_cell_length_c 7.410
_cell_angle_alpha 73.27
_cell_angle_beta 73.27
_cell_angle_gamma 60.00
loop_
_atom_site_label
_atom_site_type_symbol
_atom_site_fract_x
_atom_site_fract_y
_atom_site_fract_z
Te1 Te 0.255 0.255 0.234
Te2 Te 0.745 0.745 0.766
Tb1 Tb 0.500 0.500 0.500
Sc1 Sc 0.000 0.000 0.000
```


VASP calculation (PBE-GGA) on a relaxed Ca2ZnGe3 crystal.

Output
Polymorph energy (0 for the lowest one) = 0 meV per atom
DFT formation energy = -0.4494 eV per atom
Total moment = 0.000 μB/atom

```
data_Ca2ZnGe3
_symmetry_space_group_name_H-M 'P 1'
_symmetry_Int_Tables_number 1
_symmetry_space_group_name_Hall 'P 1'
_cell_length_a 4.345
_cell_length_b 4.332
_cell_length_c 7.243
_cell_angle_alpha 90.00
_cell_angle_beta 90.00
_cell_angle_gamma 90.00
loop_
_atom_site_label
_atom_site_type_symbol
_atom_site_fract_x
_atom_site_fract_y
_atom_site_fract_z
Ge1 Ge 0.500 0.000 0.836
Zn1 Zn 0.500 0.500 0.325
Ge2 Ge 0.500 0.000 0.178
Ca1 Ca 0.000 0.000 0.509
Ge3 Ge 0.500 0.500 0.662
Ca2 Ca 0.000 0.500 0.990
```


VASP calculation (PBE-GGA) on a relaxed HgPd7Pt2 crystal.

Output
DFT formation energy = 0.4409 eV per atom
Total moment = 0.000 μB/atom

```
data_HgPd7Pt2
_symmetry_space_group_name_H-M 'P 1'
_symmetry_Int_Tables_number 1
_symmetry_space_group_name_Hall 'P 1'
_cell_length_a 4.437
_cell_length_b 7.379
_cell_length_c 7.379
_cell_angle_alpha 121.11
_cell_angle_beta 90.00
_cell_angle_gamma 90.00
loop_
_atom_site_label
_atom_site_type_symbol
_atom_site_fract_x
_atom_site_fract_y
_atom_site_fract_z
Pd1 Pd 0.000 0.792 0.208
Pd2 Pd 0.000 0.208 0.792
Pd3 Pd 0.500 0.500 0.500
Pt1 Pt 0.500 0.699 0.301
Pd4 Pd 0.500 0.072 0.294
Pd5 Pd 0.500 0.706 0.928
Pt2 Pt 0.500 0.301 0.699
Pd6 Pd 0.500 0.294 0.072
Pd7 Pd 0.500 0.928 0.706
Hg1 Hg 0.000 0.000 0.000
```


VASP calculation (PBE-GGA) on a relaxed Nd12Ho7Th crystal.

Output
Polymorph energy (0 for the lowest one) = 52 meV per atom
DFT formation energy = 0.2751 eV per atom
Total moment = 0.000 μB/atom

```
data_Nd12Ho7Th
_symmetry_space_group_name_H-M 'P 1'
_symmetry_Int_Tables_number 1
_symmetry_space_group_name_Hall 'P 1'
_cell_length_a 6.246
_cell_length_b 11.592
_cell_length_c 11.592
_cell_angle_alpha 116.85
_cell_angle_beta 100.35
_cell_angle_gamma 100.35
loop_
_atom_site_label
_atom_site_type_symbol
_atom_site_fract_x
_atom_site_fract_y
_atom_site_fract_z
Nd1 Nd 0.600 0.999 0.646
Ho1 Ho 0.390 0.247 0.246
Nd2 Nd 0.913 0.412 0.824
Nd3 Nd 0.045 0.646 0.646
Ho2 Ho 0.856 0.246 0.999
Ho3 Ho 0.500 0.000 0.000
Th1 Th 0.000 0.000 0.000
Nd4 Nd 0.500 0.589 0.412
Nd5 Nd 0.500 0.411 0.588
Nd6 Nd 0.089 0.176 0.589
Ho4 Ho 0.143 0.999 0.753
Ho5 Ho 0.610 0.753 0.754
Ho6 Ho 0.144 0.754 0.001
Nd7 Nd 0.601 0.646 0.001
Ho7 Ho 0.857 0.001 0.247
Nd8 Nd 0.399 0.354 0.999
Nd9 Nd 0.400 0.001 0.354
Nd10 Nd 0.955 0.354 0.354
Nd11 Nd 0.911 0.824 0.411
Nd12 Nd 0.087 0.588 0.176
```


VASP calculation (PBE-GGA) on a relaxed Li3H6W crystal.

Output
Total moment = 0.000 μB/atom
E = -82.064 eV for the cell shown

```
data_Li3H6W
_symmetry_space_group_name_H-M 'P 1'
_symmetry_Int_Tables_number 1
_symmetry_space_group_name_Hall 'P 1'
_cell_length_a 2.914
_cell_length_b 5.570
_cell_length_c 9.117
_cell_angle_alpha 90.00
_cell_angle_beta 90.00
_cell_angle_gamma 90.00
loop_
_atom_site_label
_atom_site_type_symbol
_atom_site_fract_x
_atom_site_fract_y
_atom_site_fract_z
Li1 Li 0.500 0.812 0.758
Li2 Li 0.000 0.000 0.500
H1 H 0.000 0.994 0.204
H2 H 0.000 0.691 0.920
W1 W 0.000 0.000 0.000
H3 H 0.500 0.827 0.078
H4 H 0.000 0.006 0.796
H5 H 0.500 0.809 0.420
Li3 Li 0.000 0.688 0.258
Li4 Li 0.000 0.312 0.742
Li5 Li 0.500 0.500 0.000
H6 H 0.000 0.673 0.578
H7 H 0.500 0.506 0.704
H8 H 0.500 0.173 0.922
W2 W 0.500 0.500 0.500
H9 H 0.000 0.327 0.422
H10 H 0.000 0.309 0.080
H11 H 0.500 0.191 0.580
H12 H 0.500 0.494 0.296
Li6 Li 0.500 0.188 0.242
```


VASP calculation (PBE-GGA) on a relaxed PbCS2Cl crystal.

Output
Polymorph energy (0 for the lowest one) = 1152 meV per atom
Formation energy (no corrections) = 1.847 eV/atom
Total moment = 0.001 μB/atom

```
data_PbCS2Cl
_symmetry_space_group_name_H-M 'P 1'
_symmetry_Int_Tables_number 1
_symmetry_space_group_name_Hall 'P 1'
_cell_length_a 5.352
_cell_length_b 5.352
_cell_length_c 5.363
_cell_angle_alpha 90.00
_cell_angle_beta 90.00
_cell_angle_gamma 90.00
loop_
_atom_site_label
_atom_site_type_symbol
_atom_site_fract_x
_atom_site_fract_y
_atom_site_fract_z
S1 S 0.500 0.000 0.000
C1 C 0.500 0.500 0.500
S2 S 0.000 0.500 0.000
Pb1 Pb 0.000 0.000 0.000
Cl1 Cl 0.000 0.000 0.500
```


Q: Among the records above, which one has the highest total moment?
A: PbCS2Cl


Q: Which formula does entry 6 have?
A: BaLaNi2H